1.
Material: Tc2MoW
Method: DFT, PBEsol
State: optimized geometry

- space group = No. 99
- uncorrected energy (eV/atom) = -11.93
- E above lowest polymorph (meV per atom) = 16
- ΔE_f (kJ/mol of formula units) = 37

a b c (Å): 3.091 3.091 6.230
angles (deg): 90.00 90.00 90.00
Positions (direct):
Tc: 0.000 0.000 0.000
Tc: 0.500 0.500 0.278
Mo: 0.500 0.500 0.772
W: 0.000 0.000 0.509

---

2.
Material: MnBi2Mo
Method: DFT, PBEsol
State: optimized geometry

- space group = No. 225
- uncorrected energy (eV/atom) = -6.85
- ΔE_f (kJ/mol of formula units) = 262

a b c (Å): 4.835 4.835 4.835
angles (deg): 60.00 60.00 60.00
Positions (direct):
Mn: 0.000 0.000 0.000
Bi: 0.250 0.250 0.250
Bi: 0.750 0.750 0.750
Mo: 0.500 0.500 0.500

---

no.,total moment (μB per formula unit)
1,0.00
2,3.50